{
  "formula": "CoSiBr2",
  "functional": "GGA-PBEsol",
  "state": "relaxed",
  "cell": [[5.5213, -1.7460, 0.0000], [5.5213, 1.7460, 0.0000], [-0.0049, 0.0000, 4.6614]],
  "species": ["Co", "Si", "Br", "Br"],
  "fractional_positions": [[0.0000, 0.0000, 0.0000], [0.3819, 0.3819, 0.0001], [0.6578, 0.6578, 0.0006], [0.9348, 0.9348, 0.4999]],
  "e_form_raw_ev_per_atom": 0.029,
  "m_tot_mub_per_atom": 0.001,
  "dos_at_fermi_per_ev_fu": 1.9,
  "polymorph_energy_mev_per_atom": 108,
  "density_g_cm3": 4.56,
  "energy_ha_per_atom": -0.157
}